# CeZrIr

A relaxed CeZrIr crystal (PBE-GGA, Alexandria via LeMat-Bulk).

Results
Energy relative to the lowest polymorph listed for this composition, meV/atom: 142.0
D(E_F), states/eV/cell: 35.7

Unit cell a=7.7809 b=7.7809 c=7.7809 alpha=99.87 beta=99.87 gamma=99.87
Closest atoms and distances in Å follow each position.
Sites, in units of the cell vectors:
1 Zr 0.5865 0.4302 0.1785  4 Ir 2.68-2.75
2 Ir 0.1374 0.3113 0.6081  4 Zr 2.68-2.75, 2 Ce 2.80-2.86
3 Ir 0.8626 0.6887 0.3919  4 Zr 2.68-2.75, 2 Ce 2.80-2.86
4 Ce 0.0446 0.9320 0.7048  2 Ir 2.80-2.86, 2 Ce 3.10
5 Ir 0.6887 0.3919 0.8626  4 Zr 2.68-2.75, 2 Ce 2.80-2.86
6 Zr 0.5698 0.8215 0.4135  4 Ir 2.68-2.75
7 Ce 0.0680 0.2952 0.9554  2 Ir 2.80-2.86, 2 Ce 3.10
8 Ce 0.2952 0.9554 0.0680  2 Ir 2.80-2.86, 2 Ce 3.10
9 Ce 0.9320 0.7048 0.0446  2 Ir 2.80-2.86, 2 Ce 3.10
10 Ce 0.7048 0.0446 0.9320  2 Ir 2.80-2.86, 2 Ce 3.10
11 Ir 0.3919 0.8626 0.6887  4 Zr 2.68-2.75, 2 Ce 2.80-2.86
12 Zr 0.4135 0.5698 0.8215  4 Ir 2.68-2.75
13 Ir 0.3113 0.6081 0.1374  4 Zr 2.68-2.75, 2 Ce 2.80-2.86
14 Ce 0.9554 0.0680 0.2952  2 Ir 2.80-2.86, 2 Ce 3.10
15 Zr 0.8215 0.4135 0.5698  4 Ir 2.68-2.75
16 Zr 0.4302 0.1785 0.5865  4 Ir 2.68-2.75
17 Zr 0.1785 0.5865 0.4302  4 Ir 2.68-2.75
18 Ir 0.6081 0.1374 0.3113  4 Zr 2.68-2.75, 2 Ce 2.80-2.86